Record 1
Material: NbWI3
Method: DFT, PBE
State: optimized geometry

Results
Its formation energy (no corrections) is 1.3737 eV/atom. The total energy comes out at -4.16 eV/atom. For the energy relative to the lowest polymorph listed for this composition, the calculation gives 0.0 meV/atom.

a b c (Å): 5.6749 5.6749 5.6749
angles (deg): 90.00 90.00 90.00
Space group Pm-3m (No. 221)
Asymmetric unit:
Nb 0.0000 0.0000 0.0000
W 0.5000 0.5000 0.5000
I 0.0000 0.0000 0.5000

Record 2
Material: Nb3WI
Method: DFT, PBE
State: optimized geometry

Results
Its formation energy (no corrections) is 1.4076 eV/atom. The total energy comes out at -7.53 eV/atom. For the energy relative to the lowest polymorph listed for this composition, the calculation gives 0.0 meV/atom.

a b c (Å): 4.9702 4.9702 4.9702
angles (deg): 90.00 90.00 90.00
Space group Pm-3m (No. 221)
Asymmetric unit:
Nb 0.0000 0.0000 0.5000
W 0.0000 0.0000 0.0000
I 0.5000 0.5000 0.5000

energy relative to the lowest polymorph listed for this composition of number 1 (NbWI3)?
0.0 meV/atom

Which value of energy relative to the lowest polymorph listed for this composition does entry 1 give?
0.0 meV/atom

Among the records above, which one has the lowest formation energy (no corrections)?
NbWI3